Entry from Alexandria: a relaxed Pr3Sm5Tl crystal (PBE).

```
data_Pr3Sm5Tl
_symmetry_space_group_name_H-M 'C 1 2/m 1'
_symmetry_Int_Tables_number 12
_cell_length_a 11.378
_cell_length_b 8.250
_cell_length_c 13.717
_cell_angle_alpha 90.00
_cell_angle_beta 90.29
_cell_angle_gamma 90.00
loop_
_symmetry_equiv_pos_as_xyz
'x,y,z'
'-x,-y,-z'
'-x,y,-z'
'x,-y,z'
'x+1/2,y+1/2,z'
'-x+1/2,-y+1/2,-z'
'-x+1/2,y+1/2,-z'
'x+1/2,-y+1/2,z'
loop_
_atom_site_label
_atom_site_type_symbol
_atom_site_fract_x
_atom_site_fract_y
_atom_site_fract_z
Pr1 Pr 0.000 0.000 0.000
Pr2 Pr 0.000 0.000 0.500
Pr3 Pr 0.134 0.500 0.493
Pr4 Pr 0.236 0.000 0.870
Sm1 Sm 0.000 0.328 0.000
Sm2 Sm 0.001 0.500 0.747
Sm3 Sm 0.242 0.000 0.121
Sm4 Sm 0.247 0.230 0.334
Tl1 Tl 0.005 0.000 0.260
```

Results
Volume = 35.767 Å³/atom
ΔE_f = 0.270 eV per atom
Fermi-level density of states = 50.71 states/eV/cell
Crystal system = monoclinic